A plane-wave DFT calculation with PBE was carried out for a relaxed structure of DyHo2Zn2In2.

It has space group R-3m (No. 166, hexagonal axes), with a = 4.6992 Å, b = 4.6992 Å, c = 27.0321 Å, α = 90.00°, β = 90.00° and γ = 120.00°. The distinct sites, in fractional coordinates, are Dy at (0.0000, 0.0000, 0.0000), Ho at (0.0000, 0.0000, 0.1276), Zn at (0.0000, 0.0000, 0.3964) and In at (0.0000, 0.0000, 0.2624).

Its formation energy is -0.268 eV/atom. As for the volume: 24.6 Å³ per atom.